Entry A
Density functional theory data (GGA-PBE) for a relaxed structure of Mg3N2.

Mass density, Mg/m³: 2.66
Total magnetic moment, μB per cell: 0.00

Structure (CIF):
```
data_Mg3N2
_chemical_formula_sum 'Mg48 N32'
_space_group_name_H-M_alt 'I a -3'
_space_group_IT_number 206
_space_group_name_Hall '-I 2b 2c 3'
_cell_length_a 10.022
_cell_length_b 10.022
_cell_length_c 10.022
_cell_angle_alpha 90.00
_cell_angle_beta 90.00
_cell_angle_gamma 90.00
loop_
_atom_site_label
_atom_site_fract_x
_atom_site_fract_y
_atom_site_fract_z
Mg1 0.097 0.139 0.632
N1 0.000 0.000 0.000
N2 0.000 0.250 0.281
```

Entry B
Density functional theory data (GGA-PBE) for a relaxed structure of Mg3N2.

Mass density, Mg/m³: 2.73
Total magnetic moment, μB per cell: 0.00

Structure (CIF):
```
data_Mg3N2
_chemical_formula_sum 'Mg18 N12'
_space_group_name_H-M_alt 'R -3 c'
_space_group_IT_number 167
_space_group_name_Hall '-R 3 2"c'
_cell_length_a 5.4381
_cell_length_b 5.4381
_cell_length_c 14.3900
_cell_angle_alpha 90.00
_cell_angle_beta 90.00
_cell_angle_gamma 120.00
loop_
_atom_site_label
_atom_site_fract_x
_atom_site_fract_y
_atom_site_fract_z
Mg1 0.0000 0.2998 0.2500
N1 0.0000 0.0000 0.1451
```

The least stable of them is entry B.

Entry A
Density functional theory data (GGA-PBE) for a relaxed structure of NaMg3N.

Mass density, Mg/m³: 2.01
Total magnetic moment, μB per cell: 0.00

Structure (CIF):
```
data_NaMg3N
_chemical_formula_sum 'Na1 Mg3 N1'
_space_group_name_H-M_alt 'P m -3 m'
_space_group_IT_number 221
_space_group_name_Hall '-P 4 2 3'
_cell_length_a 4.495
_cell_length_b 4.495
_cell_length_c 4.495
_cell_angle_alpha 90.00
_cell_angle_beta 90.00
_cell_angle_gamma 90.00
loop_
_atom_site_label
_atom_site_fract_x
_atom_site_fract_y
_atom_site_fract_z
Na1 0.000 0.000 0.000
Mg1 0.000 0.500 0.500
N1 0.500 0.500 0.500
```

Entry B
Density functional theory data (GGA-PBE) for a relaxed structure of NaMg3N.

Mass density, Mg/m³: 1.34
Total magnetic moment, μB per cell: 0.00

Structure (CIF):
```
data_NaMg3N
_chemical_formula_sum 'Na1 Mg3 N1'
_space_group_name_H-M_alt 'P m -3 m'
_space_group_IT_number 221
_space_group_name_Hall '-P 4 2 3'
_cell_length_a 5.145
_cell_length_b 5.145
_cell_length_c 5.145
_cell_angle_alpha 90.00
_cell_angle_beta 90.00
_cell_angle_gamma 90.00
loop_
_atom_site_label
_atom_site_fract_x
_atom_site_fract_y
_atom_site_fract_z
Na1 0.000 0.000 0.000
Mg1 0.000 0.000 0.500
N1 0.500 0.500 0.500
```

The least stable of them is entry B.

Entry A
Density functional theory data (GGA-PBE) for a relaxed structure of Na2MgN.

Mass density, Mg/m³: 1.41
Total magnetic moment, μB per cell: 0.00

Structure (CIF):
```
data_Na2MgN
_chemical_formula_sum 'Na8 Mg4 N4'
_space_group_name_H-M_alt 'I -4 2 d'
_space_group_IT_number 122
_space_group_name_Hall 'I -4 2bw'
_cell_length_a 10.037
_cell_length_b 10.037
_cell_length_c 3.947
_cell_angle_alpha 90.00
_cell_angle_beta 90.00
_cell_angle_gamma 90.00
loop_
_atom_site_label
_atom_site_fract_x
_atom_site_fract_y
_atom_site_fract_z
Na1 0.057 0.250 0.125
Mg1 0.000 0.000 0.500
N1 0.000 0.000 0.000
```

Entry B
Density functional theory data (GGA-PBE) for a relaxed structure of Na2MgN.

Mass density, Mg/m³: 1.98
Total magnetic moment, μB per cell: 0.00

Structure (CIF):
```
data_Na2MgN
_chemical_formula_sum 'Na8 Mg4 N4'
_space_group_name_H-M_alt 'F m -3 m'
_space_group_IT_number 225
_space_group_name_Hall '-F 4 2 3'
_cell_length_a 6.563
_cell_length_b 6.563
_cell_length_c 6.563
_cell_angle_alpha 90.00
_cell_angle_beta 90.00
_cell_angle_gamma 90.00
loop_
_atom_site_label
_atom_site_fract_x
_atom_site_fract_y
_atom_site_fract_z
Na1 0.250 0.250 0.250
Mg1 0.000 0.000 0.000
N1 0.000 0.000 0.500
```

The least stable of them is entry B.

Entry A
Density functional theory data (GGA-PBE) for a relaxed structure of NaMgTe2N.

Mass density, Mg/m³: 3.84
Total magnetic moment, μB per cell: 1.71

Structure (CIF):
```
data_NaMgTe2N
_chemical_formula_sum 'Na1 Mg1 Te2 N1'
_space_group_name_H-M_alt 'P 4/m m m'
_space_group_IT_number 123
_space_group_name_Hall '-P 4 2'
_cell_length_a 5.934
_cell_length_b 5.934
_cell_length_c 3.890
_cell_angle_alpha 90.00
_cell_angle_beta 90.00
_cell_angle_gamma 90.00
loop_
_atom_site_label
_atom_site_fract_x
_atom_site_fract_y
_atom_site_fract_z
Na1 0.000 0.000 0.000
Mg1 0.500 0.500 0.500
Te1 0.000 0.500 0.500
N1 0.500 0.500 0.000
```

Entry B
Density functional theory data (GGA-PBE) for a relaxed structure of NaMgTe2N.

Mass density, Mg/m³: 3.80
Total magnetic moment, μB per cell: 2.94

Structure (CIF):
```
data_NaMgTe2N
_chemical_formula_sum 'Na1 Mg1 Te2 N1'
_space_group_name_H-M_alt 'P 4/m m m'
_space_group_IT_number 123
_space_group_name_Hall '-P 4 2'
_cell_length_a 5.629
_cell_length_b 5.629
_cell_length_c 4.371
_cell_angle_alpha 90.00
_cell_angle_beta 90.00
_cell_angle_gamma 90.00
loop_
_atom_site_label
_atom_site_fract_x
_atom_site_fract_y
_atom_site_fract_z
Na1 0.000 0.000 0.000
Mg1 0.500 0.500 0.500
Te1 0.000 0.500 0.000
N1 0.000 0.000 0.500
```

The least stable of them is entry B.

Entry A
Density functional theory data (GGA-PBE) for a relaxed structure of Mg3NbN.

Mass density, Mg/m³: 3.56
Total magnetic moment, μB per cell: 2.61

Structure (CIF):
```
data_Mg3NbN
_chemical_formula_sum 'Mg3 Nb1 N1'
_space_group_name_H-M_alt 'P m -3 m'
_space_group_IT_number 221
_space_group_name_Hall '-P 4 2 3'
_cell_length_a 4.377
_cell_length_b 4.377
_cell_length_c 4.377
_cell_angle_alpha 90.00
_cell_angle_beta 90.00
_cell_angle_gamma 90.00
loop_
_atom_site_label
_atom_site_fract_x
_atom_site_fract_y
_atom_site_fract_z
Mg1 0.000 0.000 0.500
Nb1 0.500 0.500 0.500
N1 0.000 0.000 0.000
```

Entry B
Density functional theory data (GGA-PBE) for a relaxed structure of Mg3NbN.

Mass density, Mg/m³: 1.92
Total magnetic moment, μB per cell: 3.98

Structure (CIF):
```
data_Mg3NbN
_chemical_formula_sum 'Mg3 Nb1 N1'
_space_group_name_H-M_alt 'P m -3 m'
_space_group_IT_number 221
_space_group_name_Hall '-P 4 2 3'
_cell_length_a 5.380
_cell_length_b 5.380
_cell_length_c 5.380
_cell_angle_alpha 90.00
_cell_angle_beta 90.00
_cell_angle_gamma 90.00
loop_
_atom_site_label
_atom_site_fract_x
_atom_site_fract_y
_atom_site_fract_z
Mg1 0.000 0.000 0.500
Nb1 0.000 0.000 0.000
N1 0.500 0.500 0.500
```

The least stable of them is entry B.

Entry A
Density functional theory data (GGA-PBE) for a relaxed structure of MgNbSeN2.

Mass density, Mg/m³: 5.00
Total magnetic moment, μB per cell: 0.00

Structure (CIF):
```
data_MgNbSeN2
_chemical_formula_sum 'Mg1 Nb1 Se1 N2'
_space_group_name_H-M_alt 'P 4/m m m'
_space_group_IT_number 123
_space_group_name_Hall '-P 4 2'
_cell_length_a 3.887
_cell_length_b 3.887
_cell_length_c 4.931
_cell_angle_alpha 90.00
_cell_angle_beta 90.00
_cell_angle_gamma 90.00
loop_
_atom_site_label
_atom_site_fract_x
_atom_site_fract_y
_atom_site_fract_z
Mg1 0.000 0.000 0.000
Nb1 0.500 0.500 0.500
Se1 0.000 0.000 0.500
N1 0.000 0.500 0.000
```

Entry B
Density functional theory data (GGA-PBE) for a relaxed structure of MgNbSeN2.

Mass density, Mg/m³: 4.23
Total magnetic moment, μB per cell: 0.41

Structure (CIF):
```
data_MgNbSeN2
_chemical_formula_sum 'Mg1 Nb1 Se1 N2'
_space_group_name_H-M_alt 'P 4/m m m'
_space_group_IT_number 123
_space_group_name_Hall '-P 4 2'
_cell_length_a 4.005
_cell_length_b 4.005
_cell_length_c 5.487
_cell_angle_alpha 90.00
_cell_angle_beta 90.00
_cell_angle_gamma 90.00
loop_
_atom_site_label
_atom_site_fract_x
_atom_site_fract_y
_atom_site_fract_z
Mg1 0.000 0.000 0.000
Nb1 0.500 0.500 0.500
Se1 0.500 0.500 0.000
N1 0.000 0.500 0.500
```

The least stable of them is entry A.

Entry A
Density functional theory data (GGA-PBE) for a relaxed structure of MgNbTe2N.

Mass density, Mg/m³: 5.60
Total magnetic moment, μB per cell: 3.55

Structure (CIF):
```
data_MgNbTe2N
_chemical_formula_sum 'Mg1 Nb1 Te2 N1'
_space_group_name_H-M_alt 'P 4/m m m'
_space_group_IT_number 123
_space_group_name_Hall '-P 4 2'
_cell_length_a 5.490
_cell_length_b 5.490
_cell_length_c 3.803
_cell_angle_alpha 90.00
_cell_angle_beta 90.00
_cell_angle_gamma 90.00
loop_
_atom_site_label
_atom_site_fract_x
_atom_site_fract_y
_atom_site_fract_z
Mg1 0.000 0.000 0.000
Nb1 0.500 0.500 0.500
Te1 0.000 0.500 0.000
N1 0.000 0.000 0.500
```

Entry B
Density functional theory data (GGA-PBE) for a relaxed structure of MgNbTe2N.

Mass density, Mg/m³: 5.19
Total magnetic moment, μB per cell: 0.00

Structure (CIF):
```
data_MgNbTe2N
_chemical_formula_sum 'Mg1 Nb1 Te2 N1'
_space_group_name_H-M_alt 'P 4/m m m'
_space_group_IT_number 123
_space_group_name_Hall '-P 4 2'
_cell_length_a 5.615
_cell_length_b 5.615
_cell_length_c 3.922
_cell_angle_alpha 90.00
_cell_angle_beta 90.00
_cell_angle_gamma 90.00
loop_
_atom_site_label
_atom_site_fract_x
_atom_site_fract_y
_atom_site_fract_z
Mg1 0.000 0.000 0.000
Nb1 0.500 0.500 0.500
Te1 0.000 0.500 0.500
N1 0.500 0.500 0.000
```

The least stable of them is entry A.

Entry A
Density functional theory data (GGA-PBE) for a relaxed structure of MgNi2PdN.

Mass density, Mg/m³: 7.28
Total magnetic moment, μB per cell: 0.00

Structure (CIF):
```
data_MgNi2PdN
_chemical_formula_sum 'Mg1 Ni2 Pd1 N1'
_space_group_name_H-M_alt 'P 4/m m m'
_space_group_IT_number 123
_space_group_name_Hall '-P 4 2'
_cell_length_a 3.747
_cell_length_b 3.747
_cell_length_c 4.261
_cell_angle_alpha 90.00
_cell_angle_beta 90.00
_cell_angle_gamma 90.00
loop_
_atom_site_label
_atom_site_fract_x
_atom_site_fract_y
_atom_site_fract_z
Mg1 0.000 0.000 0.000
Ni1 0.000 0.500 0.500
Pd1 0.500 0.500 0.000
N1 0.000 0.000 0.500
```

Entry B
Density functional theory data (GGA-PBE) for a relaxed structure of MgNi2PdN.

Mass density, Mg/m³: 7.11
Total magnetic moment, μB per cell: 0.00

Structure (CIF):
```
data_MgNi2PdN
_chemical_formula_sum 'Mg1 Ni2 Pd1 N1'
_space_group_name_H-M_alt 'P 4/m m m'
_space_group_IT_number 123
_space_group_name_Hall '-P 4 2'
_cell_length_a 3.769
_cell_length_b 3.769
_cell_length_c 4.309
_cell_angle_alpha 90.00
_cell_angle_beta 90.00
_cell_angle_gamma 90.00
loop_
_atom_site_label
_atom_site_fract_x
_atom_site_fract_y
_atom_site_fract_z
Mg1 0.000 0.000 0.000
Ni1 0.000 0.500 0.500
Pd1 0.500 0.500 0.000
N1 0.500 0.500 0.500
```

The least stable of them is entry B.

Entry A
Density functional theory data (GGA-PBE) for a relaxed structure of MgNiPd2N.

Mass density, Mg/m³: 7.66
Total magnetic moment, μB per cell: 0.00

Structure (CIF):
```
data_MgNiPd2N
_chemical_formula_sum 'Mg1 Ni1 Pd2 N1'
_space_group_name_H-M_alt 'P 4/m m m'
_space_group_IT_number 123
_space_group_name_Hall '-P 4 2'
_cell_length_a 4.298
_cell_length_b 4.298
_cell_length_c 3.635
_cell_angle_alpha 90.00
_cell_angle_beta 90.00
_cell_angle_gamma 90.00
loop_
_atom_site_label
_atom_site_fract_x
_atom_site_fract_y
_atom_site_fract_z
Mg1 0.000 0.000 0.000
Ni1 0.500 0.500 0.000
Pd1 0.000 0.500 0.500
N1 0.500 0.500 0.500
```

Entry B
Density functional theory data (GGA-PBE) for a relaxed structure of MgNiPd2N.

Mass density, Mg/m³: 7.50
Total magnetic moment, μB per cell: 0.50

Structure (CIF):
```
data_MgNiPd2N
_chemical_formula_sum 'Mg1 Ni1 Pd2 N1'
_space_group_name_H-M_alt 'P 4/m m m'
_space_group_IT_number 123
_space_group_name_Hall '-P 4 2'
_cell_length_a 4.127
_cell_length_b 4.127
_cell_length_c 4.027
_cell_angle_alpha 90.00
_cell_angle_beta 90.00
_cell_angle_gamma 90.00
loop_
_atom_site_label
_atom_site_fract_x
_atom_site_fract_y
_atom_site_fract_z
Mg1 0.000 0.000 0.000
Ni1 0.500 0.500 0.000
Pd1 0.000 0.500 0.500
N1 0.000 0.000 0.500
```

The least stable of them is entry B.

Entry A
Density functional theory data (GGA-PBE) for a relaxed structure of MgNi2PtN.

Mass density, Mg/m³: 6.81
Total magnetic moment, μB per cell: 0.73

Structure (CIF):
```
data_MgNi2PtN
_chemical_formula_sum 'Mg1 Ni2 Pt1 N1'
_space_group_name_H-M_alt 'P 4/m m m'
_space_group_IT_number 123
_space_group_name_Hall '-P 4 2'
_cell_length_a 4.834
_cell_length_b 4.834
_cell_length_c 3.658
_cell_angle_alpha 90.00
_cell_angle_beta 90.00
_cell_angle_gamma 90.00
loop_
_atom_site_label
_atom_site_fract_x
_atom_site_fract_y
_atom_site_fract_z
Mg1 0.000 0.000 0.000
Ni1 0.000 0.500 0.500
Pt1 0.500 0.500 0.500
N1 0.500 0.500 0.000
```

Entry B
Density functional theory data (GGA-PBE) for a relaxed structure of MgNi2PtN.

Mass density, Mg/m³: 9.75
Total magnetic moment, μB per cell: 0.00

Structure (CIF):
```
data_MgNi2PtN
_chemical_formula_sum 'Mg1 Ni2 Pt1 N1'
_space_group_name_H-M_alt 'P 4/m m m'
_space_group_IT_number 123
_space_group_name_Hall '-P 4 2'
_cell_length_a 3.765
_cell_length_b 3.765
_cell_length_c 4.214
_cell_angle_alpha 90.00
_cell_angle_beta 90.00
_cell_angle_gamma 90.00
loop_
_atom_site_label
_atom_site_fract_x
_atom_site_fract_y
_atom_site_fract_z
Mg1 0.000 0.000 0.000
Ni1 0.000 0.500 0.500
Pt1 0.500 0.500 0.000
N1 0.000 0.000 0.500
```

The least stable of them is entry A.

Entry A
Density functional theory data (GGA-PBE) for a relaxed structure of MgNiS2N.

Mass density, Mg/m³: 3.45
Total magnetic moment, μB per cell: 0.39

Structure (CIF):
```
data_MgNiS2N
_chemical_formula_sum 'Mg1 Ni1 S2 N1'
_space_group_name_H-M_alt 'P 4/m m m'
_space_group_IT_number 123
_space_group_name_Hall '-P 4 2'
_cell_length_a 4.758
_cell_length_b 4.758
_cell_length_c 3.421
_cell_angle_alpha 90.00
_cell_angle_beta 90.00
_cell_angle_gamma 90.00
loop_
_atom_site_label
_atom_site_fract_x
_atom_site_fract_y
_atom_site_fract_z
Mg1 0.000 0.000 0.000
Ni1 0.500 0.500 0.500
S1 0.000 0.500 0.500
N1 0.500 0.500 0.000
```

Entry B
Density functional theory data (GGA-PBE) for a relaxed structure of MgNiS2N.

Mass density, Mg/m³: 3.08
Total magnetic moment, μB per cell: 1.26

Structure (CIF):
```
data_MgNiS2N
_chemical_formula_sum 'Mg1 Ni1 S2 N1'
_space_group_name_H-M_alt 'P 4/m m m'
_space_group_IT_number 123
_space_group_name_Hall '-P 4 2'
_cell_length_a 4.762
_cell_length_b 4.762
_cell_length_c 3.827
_cell_angle_alpha 90.00
_cell_angle_beta 90.00
_cell_angle_gamma 90.00
loop_
_atom_site_label
_atom_site_fract_x
_atom_site_fract_y
_atom_site_fract_z
Mg1 0.000 0.000 0.000
Ni1 0.500 0.500 0.500
S1 0.000 0.500 0.000
N1 0.000 0.000 0.500
```

The least stable of them is entry B.

Entry A
Density functional theory data (GGA-PBE) for a relaxed structure of MgNiSeN2.

Mass density, Mg/m³: 4.40
Total magnetic moment, μB per cell: 2.16

Structure (CIF):
```
data_MgNiSeN2
_chemical_formula_sum 'Mg1 Ni1 Se1 N2'
_space_group_name_H-M_alt 'P 4/m m m'
_space_group_IT_number 123
_space_group_name_Hall '-P 4 2'
_cell_length_a 3.714
_cell_length_b 3.714
_cell_length_c 5.194
_cell_angle_alpha 90.00
_cell_angle_beta 90.00
_cell_angle_gamma 90.00
loop_
_atom_site_label
_atom_site_fract_x
_atom_site_fract_y
_atom_site_fract_z
Mg1 0.000 0.000 0.000
Ni1 0.500 0.500 0.500
Se1 0.500 0.500 0.000
N1 0.000 0.500 0.500
```

Entry B
Density functional theory data (GGA-PBE) for a relaxed structure of MgNiSeN2.

Mass density, Mg/m³: 4.05
Total magnetic moment, μB per cell: 1.02

Structure (CIF):
```
data_MgNiSeN2
_chemical_formula_sum 'Mg1 Ni1 Se1 N2'
_space_group_name_H-M_alt 'P 4/m m m'
_space_group_IT_number 123
_space_group_name_Hall '-P 4 2'
_cell_length_a 3.854
_cell_length_b 3.854
_cell_length_c 5.250
_cell_angle_alpha 90.00
_cell_angle_beta 90.00
_cell_angle_gamma 90.00
loop_
_atom_site_label
_atom_site_fract_x
_atom_site_fract_y
_atom_site_fract_z
Mg1 0.000 0.000 0.000
Ni1 0.500 0.500 0.500
Se1 0.000 0.000 0.500
N1 0.000 0.500 0.000
```

The least stable of them is entry B.